The following is a GGA-PBE calculation of a relaxed structure of Pm5Dy12Ho2, from Alexandria via LeMat-Bulk.

Summary:
* ΔE_f: 18 meV/atom
* mass density: 8.2 g/cm3
* D(E_F): 26.35 states/eV per cell

Cell: 6.179 10.701 12.856 Å, 133.83 94.63 84.49°
Sites, in units of the cell vectors:
Ho 0.420 0.156 0.182
Ho 0.580 0.844 0.818
Dy 0.683 0.632 0.237
Dy 0.105 0.791 0.922
Dy 0.631 0.739 0.027
Dy 0.054 0.895 0.712
Dy 0.526 0.947 0.606
Dy 0.211 0.578 0.341
Dy 0.474 0.053 0.394
Dy 0.946 0.105 0.288
Dy 0.895 0.209 0.078
Dy 0.789 0.422 0.659
Dy 0.369 0.261 0.973
Dy 0.317 0.368 0.763
Pm 0.737 0.526 0.447
Pm 0.842 0.315 0.869
Pm 0.000 0.000 0.500
Pm 0.263 0.474 0.553
Pm 0.158 0.685 0.131

---

The following is a GGA-PBE calculation of a relaxed structure of Pm2DyHo2, from Alexandria via LeMat-Bulk.

Summary:
* ΔE_f: 21 meV/atom
* mass density: 8.0 g/cm3
* D(E_F): 6.24 states/eV per cell

Cell: 3.585 3.585 14.983 Å, 96.84 83.13 60.00°
Sites, in units of the cell vectors:
Ho 0.637 0.029 0.696
Ho 0.363 0.971 0.304
Pm 0.229 0.438 0.104
Pm 0.771 0.562 0.896
Dy 0.500 0.500 0.500

---

The following is a GGA-PBE calculation of a relaxed structure of Pm2Dy4Ho, from Alexandria via LeMat-Bulk.

Summary:
* ΔE_f: 51 meV/atom
* mass density: 8.1 g/cm3
* D(E_F): 10.99 states/eV per cell

Cell: 3.543 8.771 8.612 Å, 119.24 101.87 90.05°
Sites, in units of the cell vectors:
Pm 0.069 0.431 0.140
Pm 0.931 0.569 0.860
Dy 0.704 0.292 0.408
Dy 0.355 0.155 0.711
Dy 0.296 0.708 0.592
Dy 0.645 0.845 0.289
Ho 0.000 0.000 0.000

---

The following is a GGA-PBE calculation of a relaxed structure of Pm6DyHo5, from Alexandria via LeMat-Bulk.

Summary:
* ΔE_f: 16 meV/atom
* mass density: 7.9 g/cm3
* D(E_F): 15.51 states/eV per cell

Cell: 5.089 10.090 9.491 Å, 122.11 105.54 90.00°
Sites, in units of the cell vectors:
Ho 0.333 0.833 0.667
Ho 0.000 0.500 0.000
Ho 0.667 0.667 0.334
Ho 0.667 0.167 0.333
Ho 0.333 0.333 0.666
Pm 0.500 0.250 0.000
Pm 0.833 0.083 0.667
Pm 0.833 0.583 0.667
Pm 0.500 0.750 0.000
Pm 0.167 0.417 0.333
Pm 0.167 0.917 0.333
Dy 0.000 0.000 0.000